Below is a geometry-optimized HoSnTe3 structure, with properties calculated at the GGA-PBE level.

a b c (Å): 9.636 9.636 8.173
angles (deg): 103.90 103.90 27.36
Positions (direct):
Ho 0.219 0.219 0.248
Ho 0.781 0.781 0.752
Sn 0.453 0.453 0.303
Sn 0.547 0.547 0.697
Te 0.037 0.037 0.176
Te 0.170 0.170 0.581
Te 0.332 0.332 0.006
Te 0.668 0.668 0.994
Te 0.830 0.830 0.419
Te 0.963 0.963 0.824

Properties
The total DFT energy (no corrections) is -4.354 eV/atom. The value obtained for the mass density is 6.5 Mg/m³. The uncorrected formation energy is -0.752 eV per atom. As for the symmetry: No. 12.

---

Below is a geometry-optimized Ho6Sn2Te structure, with properties calculated at the GGA-PBE level.

a b c (Å): 4.202 8.335 8.335
angles (deg): 119.99 90.00 90.00
Positions (direct):
Ho 0.000 0.000 0.000
Ho 0.000 0.460 0.729
Ho 0.000 0.729 0.460
Ho 0.500 0.129 0.730
Ho 0.500 0.330 0.330
Ho 0.500 0.730 0.129
Sn 0.000 0.063 0.397
Sn 0.000 0.397 0.063
Te 0.500 0.730 0.730

Properties
The total DFT energy (no corrections) is -4.922 eV/atom. The value obtained for the mass density is 8.9 Mg/m³. The uncorrected formation energy is -0.631 eV per atom. As for the symmetry: No. 38.

---

Below is a geometry-optimized HoSnTe2 structure, with properties calculated at the GGA-PBE level.

a b c (Å): 4.070 24.209 4.947
angles (deg): 90.00 90.00 90.00
Positions (direct):
Ho 0.000 0.052 0.250
Ho 0.000 0.948 0.750
Ho 0.500 0.448 0.750
Ho 0.500 0.552 0.250
Sn 0.000 0.313 0.250
Sn 0.000 0.687 0.750
Sn 0.500 0.187 0.750
Sn 0.500 0.813 0.250
Te 0.000 0.181 0.250
Te 0.000 0.444 0.250
Te 0.000 0.556 0.750
Te 0.000 0.819 0.750
Te 0.500 0.056 0.750
Te 0.500 0.319 0.750
Te 0.500 0.681 0.250
Te 0.500 0.944 0.250

Properties
The total DFT energy (no corrections) is -4.395 eV/atom. The value obtained for the mass density is 7.3 Mg/m³. The uncorrected formation energy is -0.679 eV per atom. As for the symmetry: No. 63.

---

Below is a geometry-optimized Ho8Sn2Te structure, with properties calculated at the GGA-PBE level.

a b c (Å): 9.413 9.413 6.830
angles (deg): 93.17 93.17 31.66
Positions (direct):
Ho 0.030 0.030 0.251
Ho 0.216 0.216 0.133
Ho 0.336 0.336 0.580
Ho 0.406 0.406 0.067
Ho 0.594 0.594 0.933
Ho 0.664 0.664 0.420
Ho 0.784 0.784 0.867
Ho 0.970 0.970 0.749
Sn 0.166 0.166 0.680
Sn 0.834 0.834 0.320
Te 0.500 0.500 0.500

Properties
The total DFT energy (no corrections) is -4.825 eV/atom. The value obtained for the mass density is 8.8 Mg/m³. The uncorrected formation energy is -0.483 eV per atom. As for the symmetry: No. 12.

---

Below is a geometry-optimized Ho7Sn2Te2 structure, with properties calculated at the GGA-PBE level.

a b c (Å): 6.945 6.945 7.143
angles (deg): 90.00 90.00 103.27
Positions (direct):
Ho 0.000 0.000 0.000
Ho 0.000 0.500 0.277
Ho 0.000 0.500 0.723
Ho 0.500 0.000 0.277
Ho 0.500 0.000 0.723
Ho 0.500 0.500 0.264
Ho 0.500 0.500 0.736
Sn 0.181 0.181 0.500
Sn 0.819 0.819 0.500
Te 0.279 0.721 0.000
Te 0.721 0.279 0.000

Properties
The total DFT energy (no corrections) is -4.624 eV/atom. The value obtained for the mass density is 8.2 Mg/m³. The uncorrected formation energy is -0.412 eV per atom. As for the symmetry: No. 65.

---

Below is a geometry-optimized HoSnTe4 structure, with properties calculated at the GGA-PBE level.

a b c (Å): 6.736 6.736 10.172
angles (deg): 90.00 90.00 75.23
Positions (direct):
Ho 0.116 0.884 0.750
Ho 0.884 0.116 0.250
Sn 0.434 0.566 0.250
Sn 0.566 0.434 0.750
Te 0.160 0.413 0.750
Te 0.180 0.820 0.057
Te 0.180 0.820 0.443
Te 0.413 0.160 0.250
Te 0.587 0.840 0.750
Te 0.820 0.180 0.557
Te 0.820 0.180 0.943
Te 0.840 0.587 0.250

Properties
The total DFT energy (no corrections) is -3.983 eV/atom. The value obtained for the mass density is 5.9 Mg/m³. The uncorrected formation energy is -0.458 eV per atom. As for the symmetry: No. 63.

---

Below is a geometry-optimized Ho4SnTe2 structure, with properties calculated at the GGA-PBE level.

a b c (Å): 9.533 8.200 8.177
angles (deg): 71.19 54.52 54.29
Positions (direct):
Ho 0.120 0.319 0.321
Ho 0.259 0.679 0.681
Ho 0.319 0.120 0.741
Ho 0.321 0.741 0.120
Ho 0.679 0.259 0.880
Ho 0.681 0.880 0.259
Ho 0.741 0.321 0.319
Ho 0.880 0.681 0.679
Sn 0.375 0.375 0.375
Sn 0.625 0.625 0.625
Te 0.000 0.000 0.000
Te 0.000 0.000 0.500
Te 0.000 0.500 0.000
Te 0.500 0.000 0.000

Properties
The total DFT energy (no corrections) is -4.948 eV/atom. The value obtained for the mass density is 8.1 Mg/m³. The uncorrected formation energy is -0.863 eV per atom. As for the symmetry: No. 70.

---

Below is a geometry-optimized Ho2SnTe structure, with properties calculated at the GGA-PBE level.

a b c (Å): 4.338 4.338 22.290
angles (deg): 90.00 90.00 120.00
Positions (direct):
Ho 0.000 0.000 0.000
Ho 0.000 0.000 0.180
Ho 0.333 0.667 0.667
Ho 0.333 0.667 0.847
Ho 0.667 0.333 0.333
Ho 0.667 0.333 0.513
Sn 0.000 0.000 0.591
Sn 0.333 0.667 0.258
Sn 0.667 0.333 0.925
Te 0.000 0.000 0.421
Te 0.333 0.667 0.088
Te 0.667 0.333 0.755

Properties
The total DFT energy (no corrections) is -5.007 eV/atom. The calculation puts the relative energy among the computed polymorphs at 106 meV/atom. The value obtained for the mass density is 7.9 Mg/m³. The uncorrected formation energy is -0.932 eV per atom. As for the symmetry: No. 160.

---

Below is a geometry-optimized Ho5Sn2Te2 structure, with properties calculated at the GGA-PBE level.

a b c (Å): 8.668 8.668 8.092
angles (deg): 90.00 90.00 55.23
Positions (direct):
Ho 0.000 0.000 0.000
Ho 0.030 0.702 0.663
Ho 0.202 0.530 0.163
Ho 0.298 0.970 0.663
Ho 0.470 0.798 0.163
Ho 0.500 0.500 0.500
Ho 0.530 0.202 0.837
Ho 0.702 0.030 0.337
Ho 0.798 0.470 0.837
Ho 0.970 0.298 0.337
Sn 0.138 0.862 0.363
Sn 0.362 0.638 0.863
Sn 0.638 0.362 0.137
Sn 0.862 0.138 0.637
Te 0.202 0.202 0.000
Te 0.298 0.298 0.500
Te 0.702 0.702 0.500
Te 0.798 0.798 0.000

Properties
The total DFT energy (no corrections) is -5.082 eV/atom. The calculation puts the relative energy among the computed polymorphs at 0 meV/atom. The value obtained for the mass density is 8.8 Mg/m³. The uncorrected formation energy is -0.951 eV per atom. As for the symmetry: No. 64.

---

Below is a geometry-optimized Ho4Sn2Te structure, with properties calculated at the GGA-PBE level.

a b c (Å): 6.161 6.458 10.131
angles (deg): 90.00 98.52 90.00
Positions (direct):
Ho 0.033 0.250 0.165
Ho 0.140 0.750 0.454
Ho 0.429 0.005 0.731
Ho 0.429 0.495 0.731
Ho 0.571 0.505 0.269
Ho 0.571 0.995 0.269
Ho 0.860 0.250 0.546
Ho 0.967 0.750 0.835
Sn 0.310 0.250 0.457
Sn 0.496 0.250 0.010
Sn 0.504 0.750 0.990
Sn 0.690 0.750 0.543
Te 0.043 0.750 0.158
Te 0.957 0.250 0.842

Properties
The total DFT energy (no corrections) is -4.874 eV/atom. The value obtained for the mass density is 8.5 Mg/m³. The uncorrected formation energy is -0.666 eV per atom. As for the symmetry: No. 11.

---

Below is a geometry-optimized HoSn3Te6 structure, with properties calculated at the GGA-PBE level.

a b c (Å): 12.722 4.294 13.011
angles (deg): 90.00 112.44 90.00
Positions (direct):
Ho 0.205 0.250 0.049
Ho 0.795 0.750 0.951
Sn 0.048 0.750 0.293
Sn 0.344 0.250 0.456
Sn 0.386 0.750 0.837
Sn 0.614 0.250 0.163
Sn 0.656 0.750 0.544
Sn 0.952 0.250 0.707
Te 0.025 0.750 0.904
Te 0.111 0.250 0.467
Te 0.215 0.250 0.804
Te 0.255 0.750 0.241
Te 0.399 0.750 0.071
Te 0.444 0.750 0.626
Te 0.556 0.250 0.374
Te 0.601 0.250 0.929
Te 0.745 0.250 0.759
Te 0.785 0.750 0.196
Te 0.889 0.750 0.533
Te 0.975 0.250 0.096

Properties
The total DFT energy (no corrections) is -4.003 eV/atom. The value obtained for the mass density is 6.5 Mg/m³. The uncorrected formation energy is -0.459 eV per atom. As for the symmetry: No. 11.

---

Below is a geometry-optimized Ho2SnTe structure, with properties calculated at the GGA-PBE level.

a b c (Å): 3.654 3.654 8.042
angles (deg): 90.00 90.00 90.00
Positions (direct):
Ho 0.000 0.000 0.243
Ho 0.000 0.000 0.757
Sn 0.500 0.500 0.500
Te 0.500 0.500 0.000

Properties
The total DFT energy (no corrections) is -4.906 eV/atom. The calculation puts the relative energy among the computed polymorphs at 206 meV/atom. The value obtained for the mass density is 8.9 Mg/m³. The uncorrected formation energy is -0.831 eV per atom. As for the symmetry: No. 123.

---

Below is a geometry-optimized Ho2SnTe structure, with properties calculated at the GGA-PBE level.

a b c (Å): 4.371 4.371 21.546
angles (deg): 90.00 90.00 120.00
Positions (direct):
Ho 0.000 0.000 0.245
Ho 0.000 0.000 0.755
Ho 0.333 0.667 0.421
Ho 0.333 0.667 0.912
Ho 0.667 0.333 0.088
Ho 0.667 0.333 0.579
Sn 0.000 0.000 0.500
Sn 0.333 0.667 0.167
Sn 0.667 0.333 0.833
Te 0.000 0.000 0.000
Te 0.333 0.667 0.667
Te 0.667 0.333 0.333

Properties
The total DFT energy (no corrections) is -5.094 eV/atom. The calculation puts the relative energy among the computed polymorphs at 19 meV/atom. The value obtained for the mass density is 8.1 Mg/m³. The uncorrected formation energy is -1.019 eV per atom. As for the symmetry: No. 166.

---

Below is a geometry-optimized Ho2SnTe structure, with properties calculated at the GGA-PBE level.

a b c (Å): 6.168 6.168 12.379
angles (deg): 90.00 90.00 90.00
Positions (direct):
Ho 0.000 0.250 0.121
Ho 0.000 0.250 0.629
Ho 0.000 0.750 0.371
Ho 0.000 0.750 0.879
Ho 0.500 0.250 0.379
Ho 0.500 0.250 0.871
Ho 0.500 0.750 0.129
Ho 0.500 0.750 0.621
Sn 0.000 0.250 0.875
Sn 0.000 0.750 0.125
Sn 0.500 0.250 0.625
Sn 0.500 0.750 0.375
Te 0.000 0.250 0.375
Te 0.000 0.750 0.625
Te 0.500 0.250 0.125
Te 0.500 0.750 0.875

Properties
The total DFT energy (no corrections) is -5.113 eV/atom. The calculation puts the relative energy among the computed polymorphs at 0 meV/atom. The value obtained for the mass density is 8.1 Mg/m³. The uncorrected formation energy is -1.038 eV per atom. As for the symmetry: No. 141.

---

Below is a geometry-optimized Ho2SnTe4 structure, with properties calculated at the GGA-PBE level.

a b c (Å): 16.617 4.395 7.619
angles (deg): 90.00 115.56 90.00
Positions (direct):
Ho 0.239 0.000 0.223
Ho 0.261 0.500 0.777
Ho 0.739 0.500 0.223
Ho 0.761 0.000 0.777
Sn 0.000 0.500 0.500
Sn 0.500 0.000 0.500
Te 0.126 0.500 0.958
Te 0.139 0.000 0.484
Te 0.361 0.500 0.516
Te 0.374 0.000 0.042
Te 0.626 0.000 0.958
Te 0.639 0.500 0.484
Te 0.861 0.000 0.516
Te 0.874 0.500 0.042

Properties
The total DFT energy (no corrections) is -4.721 eV/atom. The value obtained for the mass density is 6.3 Mg/m³. The uncorrected formation energy is -1.046 eV per atom. As for the symmetry: No. 12.

---

Below is a geometry-optimized Ho5Sn2Te2 structure, with properties calculated at the GGA-PBE level.

a b c (Å): 10.183 10.183 10.183
angles (deg): 66.69 135.88 132.67
Positions (direct):
Ho 0.112 0.021 0.591
Ho 0.218 0.058 0.276
Ho 0.218 0.442 0.660
Ho 0.431 0.521 0.409
Ho 0.464 0.763 0.010
Ho 0.464 0.954 0.201
Ho 0.753 0.263 0.799
Ho 0.753 0.454 0.990
Ho 0.782 0.558 0.340
Ho 0.782 0.942 0.724
Sn 0.233 0.363 0.040
Sn 0.233 0.694 0.371
Sn 0.323 0.194 0.960
Sn 0.323 0.863 0.629
Te 0.727 0.227 0.500
Te 0.727 0.727 0.000
Te 0.892 0.175 0.217
Te 0.959 0.675 0.783

Properties
The total DFT energy (no corrections) is -4.857 eV/atom. The calculation puts the relative energy among the computed polymorphs at 225 meV/atom. The value obtained for the mass density is 8.2 Mg/m³. The uncorrected formation energy is -0.726 eV per atom. As for the symmetry: No. 46.

---

Below is a geometry-optimized Ho4SnTe3 structure, with properties calculated at the GGA-PBE level.

a b c (Å): 8.719 12.337 4.360
angles (deg): 90.00 90.00 90.00
Positions (direct):
Ho 0.000 0.243 0.000
Ho 0.000 0.757 0.000
Ho 0.239 0.000 0.500
Ho 0.261 0.500 0.500
Ho 0.500 0.257 0.000
Ho 0.500 0.743 0.000
Ho 0.739 0.500 0.500
Ho 0.761 0.000 0.500
Sn 0.000 0.000 0.000
Sn 0.500 0.500 0.000
Te 0.000 0.500 0.000
Te 0.250 0.250 0.500
Te 0.250 0.750 0.500
Te 0.500 0.000 0.000
Te 0.750 0.250 0.500
Te 0.750 0.750 0.500

Properties
The total DFT energy (no corrections) is -5.138 eV/atom. The value obtained for the mass density is 8.2 Mg/m³. The uncorrected formation energy is -1.170 eV per atom. As for the symmetry: No. 65.

---

Below is a geometry-optimized HoTlSn2Te4 structure, with properties calculated at the GGA-PBE level.

a b c (Å): 7.838 4.521 7.965
angles (deg): 90.00 108.43 90.00
Positions (direct):
Ho 0.000 0.000 0.000
Tl 0.000 0.500 0.500
Sn 0.500 0.000 0.500
Sn 0.500 0.500 0.000
Te 0.244 0.500 0.231
Te 0.254 0.000 0.772
Te 0.746 0.000 0.228
Te 0.756 0.500 0.769

Properties
The total DFT energy (no corrections) is -4.035 eV/atom. The value obtained for the mass density is 6.9 Mg/m³. The uncorrected formation energy is -0.595 eV per atom. As for the symmetry: No. 10.

---

Below is a geometry-optimized Ho2TlSn3Te6 structure, with properties calculated at the GGA-PBE level.

a b c (Å): 10.069 10.069 9.379
angles (deg): 102.69 102.69 25.37
Positions (direct):
Ho 0.169 0.169 0.344
Ho 0.831 0.831 0.656
Tl 0.500 0.500 0.000
Sn 0.159 0.159 0.842
Sn 0.500 0.500 0.500
Sn 0.841 0.841 0.158
Te 0.010 0.010 0.269
Te 0.322 0.322 0.888
Te 0.332 0.332 0.420
Te 0.668 0.668 0.580
Te 0.678 0.678 0.112
Te 0.990 0.990 0.731

Properties
The total DFT energy (no corrections) is -4.161 eV/atom. The value obtained for the mass density is 6.9 Mg/m³. The uncorrected formation energy is -0.630 eV per atom. As for the symmetry: No. 12.

---

Below is a geometry-optimized HoTl2SnTe4 structure, with properties calculated at the GGA-PBE level.

a b c (Å): 7.891 4.388 8.382
angles (deg): 90.00 107.85 90.00
Positions (direct):
Ho 0.000 0.000 0.000
Tl 0.000 0.500 0.500
Tl 0.500 0.000 0.500
Sn 0.500 0.500 0.000
Te 0.235 0.500 0.215
Te 0.255 0.000 0.783
Te 0.745 0.000 0.217
Te 0.765 0.500 0.785

Properties
The total DFT energy (no corrections) is -3.874 eV/atom. The value obtained for the mass density is 7.2 Mg/m³. The uncorrected formation energy is -0.639 eV per atom. As for the symmetry: No. 10.